Compound: BaCeEuWO6
Source: the Alexandria database
Functional: PBE with a Hubbard U
Structure: relaxed

Values from the calculation:
The value obtained for the total magnetization is 0.9006 μB/atom. As for the space group: P-1 (2). The density of states at the Fermi level comes out at 1.63 states/eV per atom. The calculation puts the total DFT energy (no corrections) at -166.2 eV/cell. The polymorph energy (0 for the lowest one) comes out at 0 kJ/mol of formula units.

a b c (Å): 6.0156 6.0588 8.4722
angles (deg): 89.94 89.97 89.76
Atoms (fractional coordinates):
Ba: 0.0061 0.0266 0.2503
Ba: 0.9939 0.9734 0.7497
Ce: 0.0000 0.5000 0.5000
Ce: 0.5000 0.0000 0.0000
Eu: 0.4867 0.5368 0.2504
Eu: 0.5133 0.4632 0.7496
W: 0.0000 0.5000 0.0000
W: 0.5000 0.0000 0.5000
O: 0.0985 0.4983 0.7643
O: 0.2100 0.7633 0.0385
O: 0.2294 0.7806 0.4637
O: 0.2831 0.2963 0.0537
O: 0.3061 0.2769 0.4479
O: 0.4363 0.0479 0.7368
O: 0.5637 0.9521 0.2632
O: 0.6939 0.7231 0.5521
O: 0.7169 0.7037 0.9463
O: 0.7706 0.2194 0.5363
O: 0.7900 0.2367 0.9615
O: 0.9015 0.5017 0.2357